No. 1
## Sb2PbSe (PBE)

Data for a relaxed structure of Sb2PbSe.

Cell and atoms, written as POSCAR:
```
Sb2PbSe
1.0
1.918 -2.886 0.000
1.918 2.886 0.000
0.000 0.000 9.812
Sb Pb Se
2 1 1
Cartesian
0.000 0.000 2.163
0.000 0.000 7.649
1.918 0.000 4.906
1.918 0.000 0.000
```

Calculated values
The density of states at the Fermi level comes out at 2.4 states/eV per cell. Its crystal system is orthorhombic. As for the relative energy among the computed polymorphs: 392 meV/atom. As for the formation energy without anion corrections: 16.9 kJ per mole of atoms.

=====

No. 2
## GaNiBr3 (PBE)

Data for a relaxed structure of GaNiBr3.

Cell and atoms, written as POSCAR:
```
GaNiBr3
1.0
4.944 0.000 0.000
0.000 4.944 0.000
0.000 0.000 4.944
Ga Ni Br
1 1 3
Cartesian
0.000 0.000 0.000
2.472 2.472 2.472
0.000 2.472 2.472
2.472 0.000 2.472
2.472 2.472 0.000
```

Calculated values
The density of states at the Fermi level comes out at 1.7 states/eV per cell. Its crystal system is cubic. As for the relative energy among the computed polymorphs: 0 meV/atom. As for the formation energy without anion corrections: -27.2 kJ per mole of atoms.

=====

No. 3
## WAu (PBE)

Data for a relaxed structure of WAu.

Cell and atoms, written as POSCAR:
```
WAu
1.0
4.969 0.000 0.000
0.000 4.671 0.000
0.000 0.000 5.760
W Au
4 4
Cartesian
0.383 1.168 0.722
2.101 3.503 3.602
2.868 1.168 2.158
4.586 3.503 5.038
0.415 1.168 3.587
2.070 3.503 0.707
2.899 1.168 5.053
4.554 3.503 2.173
```

Calculated values
The density of states at the Fermi level comes out at 4.4 states/eV per cell. Its crystal system is orthorhombic. As for the relative energy among the computed polymorphs: 201 meV/atom.

=====

No. 4
## Er2AlFe3 (PBE)

Data for a relaxed structure of Er2AlFe3.

Cell and atoms, written as POSCAR:
```
Er2AlFe3
1.0
2.593 1.497 4.218
-2.593 1.497 4.218
0.000 -2.994 4.218
Er Al Fe
2 1 3
Cartesian
0.000 0.000 1.548
0.000 0.000 11.107
0.000 0.000 6.328
-1.296 -0.748 4.218
-1.296 0.748 8.437
0.000 1.497 4.218
```

Calculated values
The density of states at the Fermi level comes out at 6.8 states/eV per cell. Its crystal system is trigonal. As for the relative energy among the computed polymorphs: 13 meV/atom.

=====

No. 5
## GaSiS (PBE)

Data for a relaxed structure of GaSiS.

Cell and atoms, written as POSCAR:
```
GaSiS
1.0
3.234 0.000 0.000
0.000 7.305 0.000
-0.049 0.000 5.055
Ga Si S
2 2 2
Cartesian
0.785 0.000 2.259
2.400 3.653 2.797
0.800 2.274 1.321
2.385 5.927 3.735
0.814 5.774 0.267
2.371 2.121 4.788
```

Calculated values
The density of states at the Fermi level comes out at 0.9 states/eV per cell. Its crystal system is monoclinic. As for the formation energy without anion corrections: -11.4 kJ per mole of atoms.

=====

No. 6
## Tb4DyEr6 (PBE)

Data for a relaxed structure of Tb4DyEr6.

Cell and atoms, written as POSCAR:
```
Tb4DyEr6
1.0
-3.778 3.778 6.490
3.778 -3.778 6.490
3.778 3.778 -6.490
Tb Dy Er
4 1 6
Cartesian
2.495 2.495 -0.993
1.282 -1.282 7.483
1.282 1.282 5.496
-1.282 1.282 7.483
0.000 0.000 0.000
3.778 0.000 0.000
1.951 -1.951 4.098
1.827 1.827 2.392
0.000 3.778 0.000
-1.951 1.951 4.098
1.951 1.951 8.882
```

Calculated values
The density of states at the Fermi level comes out at 13.9 states/eV per cell. Its crystal system is tetragonal. As for the relative energy among the computed polymorphs: 333 meV/atom.

=====

No. 7
## TbUPN2 (PBE)

Data for a relaxed structure of TbUPN2.

Cell and atoms, written as POSCAR:
```
TbUPN2
1.0
-1.886 1.886 5.879
1.886 -1.886 5.879
1.886 1.886 -5.879
Tb U P N
1 1 1 2
Cartesian
0.000 0.000 0.000
0.000 0.000 3.557
0.000 0.000 7.763
1.886 0.000 4.561
0.000 1.886 4.561
```

Calculated values
The density of states at the Fermi level comes out at 0.3 states/eV per cell. Its crystal system is tetragonal. As for the formation energy without anion corrections: -125.5 kJ per mole of atoms.

=====

No. 8
## Ba3Ag4Pt2 (PBE)

Data for a relaxed structure of Ba3Ag4Pt2.

Cell and atoms, written as POSCAR:
```
Ba3Ag4Pt2
1.0
6.031 -2.393 0.000
6.031 2.393 0.000
-2.566 0.000 8.977
Ba Ag Pt
3 4 2
Cartesian
0.000 0.000 0.000
3.046 0.000 3.101
6.450 0.000 5.876
-0.409 0.000 3.409
0.938 0.000 8.424
8.558 0.000 0.553
9.906 0.000 5.567
2.897 0.000 6.484
6.600 0.000 2.492
```

Calculated values
The density of states at the Fermi level comes out at 3.0 states/eV per cell. Its crystal system is monoclinic.

=====

Number 1: volume 108.6 Å³ per cell, uncorrected energy -3.685 eV/atom. Number 2: volume 120.8 Å³ per cell, uncorrected energy -3.047 eV/atom. Number 3: volume 133.7 Å³ per cell, uncorrected energy -7.664 eV/atom. Number 4: volume 98.2 Å³ per cell, uncorrected energy -6.588 eV/atom. Number 5: volume 119.4 Å³ per cell, uncorrected energy -4.311 eV/atom. Number 6: volume 370.4 Å³ per cell, uncorrected energy -4.131 eV/atom. Number 7: volume 83.6 Å³ per cell, uncorrected energy -8.897 eV/atom. Number 8: volume 259.1 Å³ per cell, uncorrected energy -3.661 eV/atom.